Below is a geometry-optimized Pt2RhPb2 structure, with properties calculated at the PBE level.

Output
calculated volume: 103.6 Å³/f.u.
total energy: -5.262 eV per atom
ΔH_f (0 K): 0.1077 eV per atom

a = 7.0762 Å, b = 7.0762 Å, c = 4.1369 Å
α = 90.00°, β = 90.00°, γ = 90.00°
Closest atoms and distances in Å follow each position.
Sites, in units of the cell vectors:
Pb (0.3238, 0.1762, 0.5000)  6 Pt 2.81-3.03
Pb (0.1762, 0.6762, 0.5000)  6 Pt 2.81-3.03
Pb (0.6762, 0.8238, 0.5000)  6 Pt 2.81-3.03
Pb (0.8238, 0.3238, 0.5000)  6 Pt 2.81-3.03
Pt (0.3656, 0.8656, 0.0000)  1 Pt 2.69, 2 Rh 2.76, 2 Pb 2.81
Pt (0.1344, 0.3656, 0.0000)  1 Pt 2.69, 2 Rh 2.76, 2 Pb 2.81
Pt (0.8656, 0.6344, 0.0000)  1 Pt 2.69, 2 Rh 2.76, 2 Pb 2.81
Pt (0.6344, 0.1344, 0.0000)  1 Pt 2.69, 2 Rh 2.76, 2 Pb 2.81
Rh (0.5000, 0.5000, 0.0000)  4 Pt 2.76
Rh (0.0000, 0.0000, 0.0000)  4 Pt 2.76